(w)
BaTaMo2: optimized geometry, GGA-PBEsol.

Symmetry: Immm, No. 71

Lattice parameters (Å, degrees): 5.5903 5.5903 5.5903 146.91 123.62 66.95
Fractional positions:
Ba1 0.0000 0.0000 0.0000
Ta1 0.5000 0.5000 0.0000
Mo1 0.2639 0.7639 0.5000
Mo2 0.7361 0.2361 0.5000



(x)
BaTaMo2: optimized geometry, GGA-PBEsol.

Symmetry: Fm-3m, No. 225

Lattice parameters (Å, degrees): 4.7816 4.7816 4.7816 60.00 60.00 60.00
Fractional positions:
Ba1 0.0000 0.0000 0.0000
Ta1 0.5000 0.5000 0.5000
Mo1 0.2500 0.2500 0.2500
Mo2 0.7500 0.7500 0.7500



Best to worst by energy: (x), (w).



(w)
BaTl2Mo: optimized geometry, GGA-PBEsol.

Symmetry: Cmm2, No. 35

Lattice parameters (Å, degrees): 3.2051 3.2051 10.1153 90.00 90.00 100.01
Fractional positions:
Ba1 0.0000 0.0000 0.0000
Tl1 0.0000 0.0000 0.4493
Tl2 0.5000 0.5000 0.6965
Mo1 0.5000 0.5000 0.2527



(x)
BaTl2Mo: optimized geometry, GGA-PBEsol.

Symmetry: I-4m2, No. 119

Lattice parameters (Å, degrees): 5.7287 5.7287 5.7287 128.30 128.30 76.14
Fractional positions:
Ba1 0.0000 0.0000 0.0000
Tl1 0.2500 0.7500 0.5000
Tl2 0.5000 0.5000 0.0000
Mo1 0.7500 0.2500 0.5000



Best to worst by energy: (w), (x).



(w)
Ba2TlMo: optimized geometry, GGA-PBEsol.

Symmetry: P4/mmm, No. 123

Lattice parameters (Å, degrees): 3.9476 3.9476 8.4779 90.00 90.00 90.00
Fractional positions:
Ba1 0.0000 0.0000 0.2358
Ba2 0.0000 0.0000 0.7642
Tl1 0.5000 0.5000 0.5000
Mo1 0.5000 0.5000 0.0000



(x)
Ba2TlMo: optimized geometry, GGA-PBEsol.

Symmetry: Amm2, No. 38

Lattice parameters (Å, degrees): 4.7346 6.6891 6.6891 43.13 90.00 90.00
Fractional positions:
Ba1 0.0000 0.0000 0.0000
Ba2 0.5000 0.2911 0.2911
Tl1 0.0000 0.7047 0.7047
Mo1 0.5000 0.5914 0.5914



Best to worst by energy: (x), (w).